[1]
This record from the Alexandria database describes an optimized crystal structure of CaMgGa2Ni. The functional is PBE.

Results
* calculated total energy: -16.85 eV/cell

a = 4.6424 Å, b = 4.6424 Å, c = 4.7597 Å
α = 90.00°, β = 90.00°, γ = 90.00°
Closest atoms and distances in Å follow each position.
Atoms (fractional coordinates):
Ni1 0.0000 0.0000 0.0000  4 Ga 2.32, 2 Mg 2.38
Ca1 0.5000 0.5000 0.5000  4 Mg 3.28, 8 Ga 3.32
Mg1 0.0000 0.0000 0.5000  2 Ni 2.38
Ga1 0.0000 0.5000 0.0000  2 Ni 2.32
Ga2 0.5000 0.0000 0.0000  2 Ni 2.32



[2]
This record from the Alexandria database describes an optimized crystal structure of Ca2MgGa5Ni2. The functional is PBE.

Results
* calculated total energy: -72.47 eV/cell

a = 4.0441 Å, b = 9.4593 Å, c = 9.4593 Å
α = 90.00°, β = 90.00°, γ = 90.00°
Closest atoms and distances in Å follow each position.
Atoms (fractional coordinates):
Ca1 0.0000 0.6824 0.1824  3 Ni 2.78-2.85
Ca2 0.0000 0.3176 0.8176  3 Ni 2.78-2.85
Ca3 0.0000 0.1824 0.3176  3 Ni 2.78-2.85
Ca4 0.0000 0.8176 0.6824  3 Ni 2.78-2.85
Mg1 0.0000 0.0000 0.0000  8 Ga 2.94
Mg2 0.0000 0.5000 0.5000  8 Ga 2.94
Ga1 0.5000 0.2171 0.0633  2 Ni 2.64, 2 Ga 2.74-2.94, 2 Mg 2.94
Ga2 0.5000 0.7829 0.9367  2 Ni 2.64, 2 Ga 2.74-2.94, 2 Mg 2.94
Ga3 0.5000 0.0633 0.7829  2 Ni 2.64, 2 Ga 2.74-2.94, 2 Mg 2.94
Ga4 0.5000 0.7171 0.4367  2 Ni 2.64, 2 Ga 2.74-2.94, 2 Mg 2.94
Ga5 0.5000 0.9367 0.2171  2 Ni 2.64, 2 Ga 2.74-2.94, 2 Mg 2.94
Ga6 0.5000 0.2829 0.5633  2 Ni 2.64, 2 Ga 2.74-2.94, 2 Mg 2.94
Ga7 0.5000 0.5633 0.7171  2 Ni 2.64, 2 Ga 2.74-2.94, 2 Mg 2.94
Ga8 0.5000 0.4367 0.2829  2 Ni 2.64, 2 Ga 2.74-2.94, 2 Mg 2.94
Ga9 0.5000 0.5000 0.0000  4 Ni 2.50, 4 Ga 2.74
Ga10 0.5000 0.0000 0.5000  4 Ni 2.50, 4 Ga 2.74
Ni1 0.0000 0.1101 0.6101  6 Ga 2.50-2.64, 1 Ca 2.78
Ni2 0.0000 0.8899 0.3899  6 Ga 2.50-2.64, 1 Ca 2.78
Ni3 0.0000 0.6101 0.8899  6 Ga 2.50-2.64, 1 Ca 2.78
Ni4 0.0000 0.3899 0.1101  6 Ga 2.50-2.64, 1 Ca 2.78



[3]
This record from the Alexandria database describes an optimized crystal structure of Ca2MgGa12Ni3. The functional is PBE.

Results
* calculated total energy: -60.30 eV/cell

a = 7.8433 Å, b = 7.8433 Å, c = 7.8433 Å
α = 67.66°, β = 67.66°, γ = 67.66°
Closest atoms and distances in Å follow each position.
Atoms (fractional coordinates):
Ca1 0.5955 0.5955 0.5955  6 Ga 3.03-3.39
Ca2 0.4045 0.4045 0.4045  6 Ga 3.03-3.39
Mg1 0.0000 0.0000 0.0000  6 Ga 2.79
Ga1 0.2698 0.2698 0.8911  2 Ni 2.32
Ga2 0.8572 0.8572 0.3954  1 Ni 2.35
Ga3 0.3954 0.8572 0.8572  1 Ni 2.35
Ga4 0.8911 0.2698 0.2698  2 Ni 2.32
Ga5 0.8572 0.3954 0.8572  1 Ni 2.35
Ga6 0.2698 0.8911 0.2698  2 Ni 2.32
Ga7 0.7302 0.7302 0.1089  2 Ni 2.32
Ga8 0.1428 0.1428 0.6046  1 Ni 2.35
Ga9 0.6046 0.1428 0.1428  1 Ni 2.35
Ga10 0.1089 0.7302 0.7302  2 Ni 2.32
Ga11 0.1428 0.6046 0.1428  1 Ni 2.35
Ga12 0.7302 0.1089 0.7302  2 Ni 2.32
Ni1 0.5000 0.0000 0.0000  6 Ga 2.32-2.35
Ni2 0.0000 0.5000 0.0000  6 Ga 2.32-2.35
Ni3 0.0000 0.0000 0.5000  6 Ga 2.32-2.35



[4]
This record from the Alexandria database describes an optimized crystal structure of CaMgGa2Os. The functional is PBE.

Results
* calculated total energy: -21.68 eV/cell

a = 4.8229 Å, b = 4.8229 Å, c = 4.9744 Å
α = 90.00°, β = 90.00°, γ = 90.00°
Closest atoms and distances in Å follow each position.
Atoms (fractional coordinates):
Ca1 0.5000 0.5000 0.5000  4 Mg 3.41, 8 Ga 3.46
Os1 0.0000 0.0000 0.0000  4 Ga 2.41, 2 Mg 2.49
Mg1 0.0000 0.0000 0.5000  2 Os 2.49
Ga1 0.0000 0.5000 0.0000  2 Os 2.41
Ga2 0.5000 0.0000 0.0000  2 Os 2.41



[5]
This record from the Alexandria database describes an optimized crystal structure of CaMgGaPb. The functional is PBE.

Results
* calculated total energy: -11.41 eV/cell

a = 5.2289 Å, b = 5.2289 Å, c = 5.2289 Å
α = 60.00°, β = 60.00°, γ = 60.00°
Closest atoms and distances in Å follow each position.
Atoms (fractional coordinates):
Pb1 0.7500 0.7500 0.7500  4 Ca 3.20, 4 Mg 3.20
Ca1 0.0000 0.0000 0.0000  4 Pb 3.20, 4 Ga 3.20
Mg1 0.5000 0.5000 0.5000  4 Ga 3.20, 4 Pb 3.20
Ga1 0.2500 0.2500 0.2500  4 Ca 3.20, 4 Mg 3.20



[6]
This record from the Alexandria database describes an optimized crystal structure of CaMgGa2Pd. The functional is PBE.

Results
* calculated total energy: -17.58 eV/cell

a = 4.0665 Å, b = 4.3243 Å, c = 6.5854 Å
α = 109.17°, β = 107.98°, γ = 90.00°
Closest atoms and distances in Å follow each position.
Atoms (fractional coordinates):
Ca1 0.4371 0.4371 0.8742  4 Pd 3.20, 6 Ga 3.24-3.44
Mg1 0.1915 0.6915 0.3830  2 Pd 2.64, 2 Ga 2.74
Ga1 0.7015 0.2015 0.4030  2 Pd 2.67, 2 Ga 2.72, 4 Mg 2.97
Ga2 0.0477 0.0477 0.0955  1 Pd 2.51, 2 Ga 2.72, 2 Mg 2.74
Pd1 0.8343 0.8343 0.6686  3 Ga 2.51-2.67, 2 Mg 2.64



[7]
This record from the Alexandria database describes an optimized crystal structure of CaMgGa2Pd2. The functional is PBE.

Results
* calculated total energy: -24.13 eV/cell

a = 4.3927 Å, b = 4.3927 Å, c = 7.0038 Å
α = 90.00°, β = 90.00°, γ = 120.00°
Closest atoms and distances in Å follow each position.
Atoms (fractional coordinates):
Ca1 0.0000 0.0000 0.0000  6 Ga 3.23, 6 Pd 3.39, 2 Mg 3.50
Mg1 0.0000 0.0000 0.5000  6 Pd 2.83, 6 Ga 2.95
Ga1 0.3333 0.6667 0.7144  4 Pd 2.55-2.76
Ga2 0.6667 0.3333 0.2856  4 Pd 2.55-2.76
Pd1 0.3333 0.6667 0.3209  4 Ga 2.55-2.76, 3 Mg 2.83
Pd2 0.6667 0.3333 0.6792  4 Ga 2.55-2.76, 3 Mg 2.83



[8]
This record from the Alexandria database describes an optimized crystal structure of Ca2MgGa2Pd5. The functional is PBE.

Results
* calculated total energy: -89.54 eV/cell

a = 3.7095 Å, b = 9.9518 Å, c = 9.9518 Å
α = 90.00°, β = 90.00°, γ = 90.00°
Closest atoms and distances in Å follow each position.
Atoms (fractional coordinates):
Ca1 0.0000 0.6749 0.1749  3 Ga 2.85-3.01, 6 Pd 3.08-3.19
Ca2 0.0000 0.3251 0.8251  3 Ga 2.85-3.01, 6 Pd 3.08-3.19
Ca3 0.0000 0.1749 0.3251  3 Ga 2.85-3.01, 6 Pd 3.08-3.19
Ca4 0.0000 0.8251 0.6749  3 Ga 2.85-3.01, 6 Pd 3.08-3.19
Mg1 0.0000 0.0000 0.0000  8 Pd 2.85
Mg2 0.0000 0.5000 0.5000  8 Pd 2.85
Ga1 0.0000 0.1229 0.6229  6 Pd 2.54-2.58
Ga2 0.0000 0.8771 0.3771  6 Pd 2.54-2.58
Ga3 0.0000 0.6229 0.8771  6 Pd 2.54-2.58
Ga4 0.0000 0.3771 0.1229  6 Pd 2.54-2.58
Pd1 0.5000 0.2064 0.0668  2 Ga 2.58, 2 Mg 2.85
Pd2 0.5000 0.7936 0.9332  2 Ga 2.58, 2 Mg 2.85
Pd3 0.5000 0.0668 0.7936  2 Ga 2.58, 2 Mg 2.85
Pd4 0.5000 0.7064 0.4332  2 Ga 2.58, 2 Mg 2.85
Pd5 0.5000 0.9332 0.2064  2 Ga 2.58, 2 Mg 2.85
Pd6 0.5000 0.2936 0.5668  2 Ga 2.58, 2 Mg 2.85
Pd7 0.5000 0.5668 0.7064  2 Ga 2.58, 2 Mg 2.85
Pd8 0.5000 0.4332 0.2936  2 Ga 2.58, 2 Mg 2.85
Pd9 0.5000 0.5000 0.0000  4 Ga 2.54
Pd10 0.5000 0.0000 0.5000  4 Ga 2.54



[9]
This record from the Alexandria database describes an optimized crystal structure of Ca2MgGa5Pd2. The functional is PBE.

Results
* calculated total energy: -72.83 eV/cell

a = 4.1744 Å, b = 9.6658 Å, c = 9.6658 Å
α = 90.00°, β = 90.00°, γ = 90.00°
Closest atoms and distances in Å follow each position.
Atoms (fractional coordinates):
Ca1 0.0000 0.6821 0.1821  3 Pd 2.79-2.93
Ca2 0.0000 0.3179 0.8179  3 Pd 2.79-2.93
Ca3 0.0000 0.1821 0.3179  3 Pd 2.79-2.93
Ca4 0.0000 0.8179 0.6821  3 Pd 2.79-2.93
Mg1 0.0000 0.0000 0.0000  8 Ga 2.94
Mg2 0.0000 0.5000 0.5000  8 Ga 2.94
Ga1 0.5000 0.2066 0.0592  2 Pd 2.77, 3 Ga 2.89-2.94, 2 Mg 2.94
Ga2 0.5000 0.7934 0.9408  2 Pd 2.77, 3 Ga 2.89-2.94, 2 Mg 2.94
Ga3 0.5000 0.0592 0.7934  2 Pd 2.77, 3 Ga 2.89-2.94, 2 Mg 2.94
Ga4 0.5000 0.7066 0.4408  2 Pd 2.77, 3 Ga 2.89-2.94, 2 Mg 2.94
Ga5 0.5000 0.9408 0.2066  2 Pd 2.77, 3 Ga 2.89-2.94, 2 Mg 2.94
Ga6 0.5000 0.2934 0.5592  2 Pd 2.77, 3 Ga 2.89-2.94, 2 Mg 2.94
Ga7 0.5000 0.5592 0.7066  2 Pd 2.77, 3 Ga 2.89-2.94, 2 Mg 2.94
Ga8 0.5000 0.4408 0.2934  2 Pd 2.77, 3 Ga 2.89-2.94, 2 Mg 2.94
Ga9 0.5000 0.5000 0.0000  4 Pd 2.60, 4 Ga 2.89
Ga10 0.5000 0.0000 0.5000  4 Pd 2.60, 4 Ga 2.89
Pd1 0.0000 0.1134 0.6134  6 Ga 2.60-2.77, 1 Ca 2.79
Pd2 0.0000 0.8866 0.3866  6 Ga 2.60-2.77, 1 Ca 2.79
Pd3 0.0000 0.6134 0.8866  6 Ga 2.60-2.77, 1 Ca 2.79
Pd4 0.0000 0.3866 0.1134  6 Ga 2.60-2.77, 1 Ca 2.79



[10]
This record from the Alexandria database describes an optimized crystal structure of Ca2MgGa3Pd4. The functional is PBE.

Results
* calculated total energy: -42.60 eV/cell

a = 4.1761 Å, b = 4.1761 Å, c = 11.2009 Å
α = 90.00°, β = 90.00°, γ = 90.00°
Closest atoms and distances in Å follow each position.
Atoms (fractional coordinates):
Ca1 0.5000 0.0000 0.2442  8 Pd 3.20-3.44, 6 Ga 3.22-3.55, 2 Mg 3.55
Ca2 0.0000 0.5000 0.7558  8 Pd 3.20-3.44, 6 Ga 3.22-3.55, 2 Mg 3.55
Mg1 0.5000 0.5000 0.5000  4 Pd 2.65, 4 Ga 2.95
Ga1 0.0000 0.0000 0.5000  4 Pd 2.65, 4 Mg 2.95
Ga2 0.5000 0.0000 0.8704  5 Pd 2.51-2.54
Ga3 0.0000 0.5000 0.1296  5 Pd 2.51-2.54
Pd1 0.5000 0.5000 0.0000  4 Ga 2.54
Pd2 0.0000 0.0000 0.0000  4 Ga 2.54
Pd3 0.5000 0.0000 0.6459  3 Ga 2.51-2.65, 2 Mg 2.65
Pd4 0.0000 0.5000 0.3541  3 Ga 2.51-2.65, 2 Mg 2.65



[11]
This record from the Alexandria database describes an optimized crystal structure of CaPrMgGa. The functional is PBE.

Results
* calculated total energy: -12.63 eV/cell

a = 5.3586 Å, b = 5.3586 Å, c = 5.3586 Å
α = 60.00°, β = 60.00°, γ = 60.00°
Closest atoms and distances in Å follow each position.
Atoms (fractional coordinates):
Pr1 0.0000 0.0000 0.0000  4 Mg 3.28, 4 Ga 3.28
Ca1 0.5000 0.5000 0.5000  4 Ga 3.28, 4 Mg 3.28
Mg1 0.7500 0.7500 0.7500  4 Pr 3.28, 4 Ca 3.28
Ga1 0.2500 0.2500 0.2500  4 Pr 3.28, 4 Ca 3.28



| no. | total magnetic moment (μB per formula unit) |
| --- | --- |
| 1 | 0.00 |
| 2 | 0.00 |
| 3 | 0.00 |
| 4 | 0.00 |
| 5 | 0.00 |
| 6 | 0.00 |
| 7 | 0.00 |
| 8 | 0.00 |
| 9 | 0.00 |
| 10 | 0.00 |
| 11 | 0.00 |